Entry 1:
MgSiSb2: optimized geometry, GGA-PBE.

As for the formation energy without anion corrections: 220 meV/atom.

The space group is Pmmm (No. 47) and the conventional cell measures 3.846, 4.806 and 4.942 Å, with angles of 90.00, 90.00 and 90.00 degrees. The distinct sites, in fractional coordinates, are Mg at (0.000, 0.000, 0.000), Si at (0.000, 0.500, 0.500), Sb at (0.500, 0.000, 0.500) and Sb at (0.500, 0.500, 0.000).

***

Entry 2:
YNb2I: optimized geometry, GGA-PBE.

The relative energy among the computed polymorphs comes out at 255.0 meV/atom. As for the formation energy without anion corrections: 791 meV/atom.

The space group is Fm-3m (No. 225) and the conventional cell measures 6.982, 6.982 and 6.982 Å, with angles of 90.00, 90.00 and 90.00 degrees. The distinct sites, in fractional coordinates, are Y at (0.000, 0.000, 0.000), Nb at (0.250, 0.250, 0.250) and I at (0.000, 0.000, 0.500).

***

Entry 3:
Sm2Ho2Th15: optimized geometry, GGA-PBE.

The calculation puts the total energy at -0.482 Ry/atom.

The space group is R-3m (No. 166, hexagonal axes) and the conventional cell measures 11.4463, 11.4463 and 17.2351 Å, with angles of 90.00, 90.00 and 120.00 degrees. The distinct sites, in fractional coordinates, are Sm at (0.0000, 0.0000, 0.1785), Ho at (0.0000, 0.0000, 0.4014), Th at (0.0000, 0.2981, 0.5000), Th at (0.0000, 0.5000, 0.0000) and Th at (0.0101, 0.5050, 0.6499).

***

Entry 4:
FeCo2Pt9: optimized geometry, GGA-PBE.

The calculation puts the total energy at -0.480 Ry/atom.

The space group is P4/mmm (No. 123) and the conventional cell measures 3.899, 3.899 and 11.690 Å, with angles of 90.00, 90.00 and 90.00 degrees. The distinct sites, in fractional coordinates, are Fe at (0.000, 0.000, 0.000), Co at (0.000, 0.000, 0.336), Pt at (0.000, 0.500, 0.167), Pt at (0.000, 0.500, 0.500), Pt at (0.500, 0.500, 0.000) and Pt at (0.500, 0.500, 0.333).

***

Entry 5:
MgTaH4: optimized geometry, GGA-PBE.

The calculation puts the total energy at -0.339 Ry/atom.

The space group is I4_1/amd (No. 141, origin choice 2) and the conventional cell measures 4.683, 4.683 and 8.645 Å, with angles of 90.00, 90.00 and 90.00 degrees. The distinct sites, in fractional coordinates, are Mg at (0.000, 0.250, 0.375), Ta at (0.000, 0.250, 0.875) and H at (0.238, 0.000, 0.000).

***

Entry 6:
MgCd4W: optimized geometry, GGA-PBE.

The calculation puts the total energy at -0.177 Ry/atom.

The space group is F-43m (No. 216) and the conventional cell measures 7.948, 7.948 and 7.948 Å, with angles of 90.00, 90.00 and 90.00 degrees. The distinct sites, in fractional coordinates, are Mg at (0.000, 0.000, 0.000), Cd at (0.125, 0.125, 0.375) and W at (0.250, 0.250, 0.750).

***

Entry 7:
Rb3Te2S6: optimized geometry, GGA-PBE.

As for the formation energy without anion corrections: -495 meV/atom.

The space group is I4/mmm (No. 139) and the conventional cell measures 5.112, 5.112 and 27.497 Å, with angles of 90.00, 90.00 and 90.00 degrees. The distinct sites, in fractional coordinates, are Rb at (0.000, 0.000, 0.000), Rb at (0.000, 0.000, 0.177), Te at (0.000, 0.000, 0.391), S at (0.000, 0.000, 0.306) and S at (0.000, 0.500, 0.087).

***

Entry 8:
BaNi2Pb: optimized geometry, GGA-PBE.

The relative energy among the computed polymorphs comes out at 417.3 meV/atom.

The space group is P4/mmm (No. 123) and the conventional cell measures 4.990, 4.990 and 3.563 Å, with angles of 90.00, 90.00 and 90.00 degrees. The distinct sites, in fractional coordinates, are Ba at (0.000, 0.000, 0.000), Ni at (0.000, 0.500, 0.500) and Pb at (0.500, 0.500, 0.000).

***

Entry 9:
TiBe3Ni: optimized geometry, GGA-PBE.

The relative energy among the computed polymorphs comes out at 0.0 meV/atom.

The space group is Pm-3m (No. 221) and the conventional cell measures 3.879, 3.879 and 3.879 Å, with angles of 90.00, 90.00 and 90.00 degrees. The distinct sites, in fractional coordinates, are Ti at (0.000, 0.000, 0.000), Be at (0.000, 0.500, 0.500) and Ni at (0.500, 0.500, 0.500).

***

Entry 10:
Pr3Ga2O8: optimized geometry, GGA-PBE.

As for the formation energy without anion corrections: -2461 meV/atom.

The space group is R-3m (No. 166, hexagonal axes) and the conventional cell measures 5.6839, 5.6839 and 19.5763 Å, with angles of 90.00, 90.00 and 120.00 degrees. The distinct sites, in fractional coordinates, are Pr at (0.0000, 0.0000, 0.0000), Pr at (0.0000, 0.0000, 0.2004), Ga at (0.0000, 0.0000, 0.4074), O at (0.0000, 0.0000, 0.3143) and O at (0.0220, 0.5110, 0.7698).

***

Entry 11:
MgAl3Pd3: optimized geometry, GGA-PBE.

The calculation puts the total energy at -0.350 Ry/atom.

The space group is R3m (No. 160, hexagonal axes) and the conventional cell measures 8.7662, 8.7662 and 5.1930 Å, with angles of 90.00, 90.00 and 120.00 degrees. The distinct sites, in fractional coordinates, are Mg at (0.0000, 0.0000, 0.0000), Al at (0.9999, 0.4999, 0.9989) and Pd at (0.0001, 0.5001, 0.4989).

***

Entry 12:
YAlP2: optimized geometry, GGA-PBE.

The calculation puts the total energy at -0.426 Ry/atom.

The space group is P4/mmm (No. 123) and the conventional cell measures 4.506, 4.506 and 3.578 Å, with angles of 90.00, 90.00 and 90.00 degrees. The distinct sites, in fractional coordinates, are Y at (0.000, 0.000, 0.000), Al at (0.500, 0.500, 0.000) and P at (0.000, 0.500, 0.500).

***

Record-wise total moment values, in μB/atom: 0.00; 0.00; 0.00; 0.89; 0.00; 0.51; 0.00; 0.00; 0.00; 0.00; 0.00; 0.00